[1]
Crystalline LuMgTaOs at its relaxed geometry. Source: OQMD, functional PBE.

Lattice parameters (Å, degrees): 4.6760 4.6760 4.6760 60.00 60.00 60.00
Fractional coordinates of all 4 atoms:
Lu  0.5000  0.5000  0.5000
Mg  0.7500  0.7500  0.7500
Os  0.0000  0.0000  0.0000
Ta  0.2500  0.2500  0.2500

Summary:
Energy above the lowest structure with this stoichiometry in eV/atom: 0.0450
SG: F-43m

***

[2]
Crystalline LuMgTaOs at its relaxed geometry. Source: OQMD, functional PBE.

Lattice parameters (Å, degrees): 4.7135 4.7135 4.7135 60.00 60.00 60.00
Fractional coordinates of all 4 atoms:
Lu  0.0000  0.0000  0.0000
Mg  0.7500  0.7500  0.7500
Os  0.2500  0.2500  0.2500
Ta  0.5000  0.5000  0.5000

Summary:
Energy above the lowest structure with this stoichiometry in eV/atom: 0.0000
SG: F-43m

***

[3]
Crystalline LuMgPb at its relaxed geometry. Source: OQMD, functional PBE.

Lattice parameters (Å, degrees): 5.0528 5.0528 5.0528 60.00 60.00 60.00
Fractional coordinates of all 3 atoms:
Lu  0.0000  0.0000  0.0000
Mg  0.2500  0.2500  0.2500
Pb  0.7500  0.7500  0.7500

Summary:
Final energy in eV/cell: -9.4
SG: F-43m

***

Which formula does entry 1 have? LuMgTaOs